Ba3HgAu2: relaxed, GGA-PBE.

a b c (Å): 4.0627 4.0627 12.4653
angles (deg): 90.00 90.00 90.00
With the nearest neighbours (Å) after each atom.
Positions (direct):
Ba 0.0000 0.0000 0.0000  8 Au 3.53
Ba 0.0000 0.0000 0.6783  4 Au 3.48, 4 Hg 3.63
Ba 0.0000 0.0000 0.3217  4 Au 3.48, 4 Hg 3.63
Hg 0.5000 0.5000 0.5000  8 Ba 3.63, 4 Hg 4.06
Au 0.5000 0.5000 0.8361  8 Ba 3.48-3.53
Au 0.5000 0.5000 0.1639  8 Ba 3.48-3.53

* DFT total energy: -16.38 eV per cell
* formation energy from the elements: -0.625 eV/atom
* total moment: 0.00 μB/cell
* polymorph energy (0 for the lowest one): 0 meV/atom



Ba6HgAu2: relaxed, GGA-PBE.

a b c (Å): 6.4022 8.2497 10.4490
angles (deg): 69.23 72.16 67.17
With the nearest neighbours (Å) after each atom.
Positions (direct):
Ba 0.6938 0.7075 0.9048  3 Au 3.21-3.37
Ba 0.3062 0.2925 0.0952  3 Au 3.21-3.37
Ba 0.9868 0.8222 0.2043  1 Hg 3.28, 2 Au 3.29-3.31
Ba 0.3521 0.7315 0.5643  1 Au 3.31
Ba 0.0132 0.1778 0.7957  1 Hg 3.28, 2 Au 3.29-3.31
Ba 0.6479 0.2685 0.4357  1 Au 3.31
Hg 0.0000 0.5000 0.5000  2 Ba 3.28
Au 0.1866 0.7292 0.8975  6 Ba 3.21-3.37
Au 0.8134 0.2708 0.1025  6 Ba 3.21-3.37

* DFT total energy: -21.97 eV per cell
* formation energy from the elements: -0.397 eV/atom
* total moment: 0.00 μB/cell
* polymorph energy (0 for the lowest one): 42 meV/atom



BaHg2Au: relaxed, GGA-PBE.

a b c (Å): 4.4660 4.2410 6.9023
angles (deg): 72.23 90.00 90.00
With the nearest neighbours (Å) after each atom.
Positions (direct):
Au 0.0000 0.3010 0.5191  2 Hg 2.91
Hg 0.0000 0.0428 0.0373  4 Hg 3.33-3.35, 1 Au 3.41
Hg 0.5000 0.4486 0.2343  2 Au 2.91
Ba 0.5000 0.7075 0.7093  4 Au 3.32-3.33, 1 Hg 3.45

* DFT total energy: -7.44 eV per cell
* formation energy from the elements: -0.410 eV/atom
* total moment: 0.00 μB/cell



BaHg2Au: relaxed, GGA-PBE.

a b c (Å): 4.1215 4.1181 7.0098
angles (deg): 90.00 90.00 90.00
With the nearest neighbours (Å) after each atom.
Positions (direct):
Au 0.0000 0.0000 0.4792  5 Hg 3.04-3.34, 4 Ba 3.40
Hg 0.0000 0.0000 0.0456  1 Au 3.04, 4 Hg 3.23
Hg 0.5000 0.5000 0.2460  4 Hg 3.23, 4 Au 3.34, 1 Ba 3.39
Ba 0.5000 0.5000 0.7292  6 Hg 3.39-3.66, 4 Au 3.40

* DFT total energy: -7.38 eV per cell
* formation energy from the elements: -0.393 eV/atom
* total moment: 0.00 μB/cell